Arrangement A

Material: NbCdB4
Method: DFT, PBE
State: optimized geometry

Unit cell a=3.0719 b=3.0719 c=7.7910 alpha=90.00 beta=90.00 gamma=120.00
Space group P6/mmm (No. 191)
Unique sites:
1 Nb 0.0000 0.0000 0.0000 x1
2 Cd 0.0000 0.0000 0.5000 x1
3 B 0.3333 0.6667 0.2162 x4

## Properties
The total moment comes out at 0.013 Bohr magnetons per cell.

---

Arrangement B

Material: NbCdB4
Method: DFT, PBE
State: optimized geometry

Unit cell a=3.088 b=5.312 c=7.460 alpha=90.00 beta=90.00 gamma=90.00
Space group Immm (No. 71)
Unique sites:
1 Nb 0.000 0.000 0.000 x2
2 Cd 0.000 0.000 0.500 x2
3 B 0.000 0.334 0.255 x8

## Properties
The total moment comes out at 0.074 Bohr magnetons per cell.

---

If we sort the structures by their calculated energies, the order from most to least stable is arrangement A, arrangement B.

---

Arrangement A

Material: NbCdB
Method: DFT, PBE
State: optimized geometry

Unit cell a=5.973 b=5.973 c=5.973 alpha=90.00 beta=90.00 gamma=90.00
Space group F-43m (No. 216)
Unique sites:
1 Nb 0.000 0.000 0.000 x4
2 Cd 0.250 0.250 0.750 x4
3 B 0.000 0.000 0.500 x4

## Properties
The total moment comes out at 1.562 Bohr magnetons per cell.

---

Arrangement B

Material: NbCdB
Method: DFT, PBE
State: optimized geometry

Unit cell a=6.017 b=6.017 c=6.017 alpha=90.00 beta=90.00 gamma=90.00
Space group F-43m (No. 216)
Unique sites:
1 Nb 0.000 0.000 0.000 x4
2 Cd 0.250 0.250 0.250 x4
3 B 0.250 0.250 0.750 x4

## Properties
The total moment comes out at 0.008 Bohr magnetons per cell.

---

If we sort the structures by their calculated energies, the order from most to least stable is arrangement B, arrangement A.

---

Arrangement A

Material: CdNiB
Method: DFT, PBE
State: optimized geometry

Unit cell a=5.668 b=5.668 c=5.668 alpha=90.00 beta=90.00 gamma=90.00
Space group F-43m (No. 216)
Unique sites:
1 Cd 0.000 0.000 0.000 x4
2 Ni 0.250 0.250 0.250 x4
3 B 0.250 0.250 0.750 x4

## Properties
The total moment comes out at 0.044 Bohr magnetons per cell.

---

Arrangement B

Material: CdNiB
Method: DFT, PBE
State: optimized geometry

Unit cell a=5.559 b=5.559 c=5.559 alpha=90.00 beta=90.00 gamma=90.00
Space group F-43m (No. 216)
Unique sites:
1 Cd 0.000 0.000 0.000 x4
2 Ni 0.250 0.250 0.750 x4
3 B 0.000 0.000 0.500 x4

## Properties
The total moment comes out at 0.010 Bohr magnetons per cell.

---

If we sort the structures by their calculated energies, the order from most to least stable is arrangement B, arrangement A.

---

Arrangement A

Material: CdTcNiB
Method: DFT, PBE
State: optimized geometry

Unit cell a=5.930 b=5.930 c=5.930 alpha=90.00 beta=90.00 gamma=90.00
Space group F-43m (No. 216)
Unique sites:
1 Cd 0.000 0.000 0.000 x4
2 Tc 0.250 0.250 0.250 x4
3 Ni 0.250 0.250 0.750 x4
4 B 0.000 0.000 0.500 x4

## Properties
The total moment comes out at 1.124 Bohr magnetons per cell.

---

Arrangement B

Material: CdTcNiB
Method: DFT, PBE
State: optimized geometry

Unit cell a=5.889 b=5.889 c=5.889 alpha=90.00 beta=90.00 gamma=90.00
Space group F-43m (No. 216)
Unique sites:
1 Cd 0.000 0.000 0.000 x4
2 Tc 0.000 0.000 0.500 x4
3 Ni 0.250 0.250 0.250 x4
4 B 0.250 0.250 0.750 x4

## Properties
The total moment comes out at 3.729 Bohr magnetons per cell.

---

If we sort the structures by their calculated energies, the order from most to least stable is arrangement B, arrangement A.

---

Arrangement A

Material: CdB2O4
Method: DFT, PBE
State: optimized geometry

Unit cell a=8.8723 b=8.8723 c=7.1658 alpha=90.00 beta=90.00 gamma=120.00
Space group P6_3 (No. 173)
Unique sites:
1 Cd 0.0000 0.0000 0.0000 x2
2 Cd 0.0437 0.5235 0.4719 x6
3 B 0.1533 0.8245 0.7784 x6
4 B 0.1540 0.8272 0.1646 x6
5 B 0.3333 0.6667 0.1868 x2
6 B 0.3333 0.6667 0.7988 x2
7 O 0.0045 0.8184 0.2631 x6
8 O 0.0080 0.7099 0.6516 x6
9 O 0.0922 0.7622 0.9710 x6
10 O 0.1883 0.4968 0.7279 x6
11 O 0.2102 0.7185 0.2653 x6
12 O 0.3333 0.6667 0.9941 x2

---

Arrangement B

Material: CdB2O4
Method: DFT, PBE
State: optimized geometry

Unit cell a=9.896 b=5.962 c=4.502 alpha=90.00 beta=108.89 gamma=90.00
Space group C2/c (No. 15)
Unique sites:
1 Cd 0.000 0.177 0.250 x4
2 B 0.195 0.393 0.893 x8
3 O 0.148 0.160 0.959 x8
4 O 0.149 0.431 0.558 x8

---

If we sort the structures by their calculated energies, the order from most to least stable is arrangement A, arrangement B.

---

Arrangement A

Material: CdBPO
Method: DFT, PBE
State: optimized geometry

Unit cell a=3.325 b=7.817 c=4.555 alpha=90.00 beta=90.00 gamma=90.00
Space group Pmc2_1 (No. 26)
Unique sites:
1 Cd 0.000 0.128 0.000 x2
2 B 0.500 0.413 0.570 x2
3 P 0.000 0.258 0.498 x2
4 O 0.500 0.445 0.880 x2

---

Arrangement B

Material: CdBPO
Method: DFT, PBE
State: optimized geometry

Unit cell a=4.022 b=4.022 c=7.000 alpha=90.00 beta=90.00 gamma=90.00
Space group P4/nmm (No. 129, origin choice 2)
Unique sites:
1 Cd 0.250 0.250 0.128 x2
2 B 0.250 0.750 0.500 x2
3 P 0.250 0.250 0.566 x2
4 O 0.250 0.750 0.000 x2

---

If we sort the structures by their calculated energies, the order from most to least stable is arrangement A, arrangement B.

---

Arrangement A

Material: CdBPO
Method: DFT, PBE
State: optimized geometry

Unit cell a=2.518 b=7.919 c=5.685 alpha=90.00 beta=90.00 gamma=90.00
Space group Pmc2_1 (No. 26)
Unique sites:
1 Cd 0.000 0.103 0.000 x2
2 B 0.500 0.365 0.452 x2
3 P 0.500 0.393 0.809 x2
4 O 0.000 0.286 0.381 x2

---

Arrangement B

Material: CdBPO
Method: DFT, PBE
State: optimized geometry

Unit cell a=3.773 b=3.773 c=8.244 alpha=90.00 beta=90.00 gamma=90.00
Space group P4/nmm (No. 129, origin choice 2)
Unique sites:
1 Cd 0.250 0.750 0.000 x2
2 B 0.250 0.250 0.440 x2
3 P 0.250 0.250 0.207 x2
4 O 0.250 0.750 0.500 x2

---

If we sort the structures by their calculated energies, the order from most to least stable is arrangement A, arrangement B.

---

Arrangement A

Material: CdB4Pb
Method: DFT, PBE
State: optimized geometry

Unit cell a=3.1355 b=3.1355 c=8.9286 alpha=90.00 beta=90.00 gamma=120.00
Space group P6/mmm (No. 191)
Unique sites:
1 Cd 0.0000 0.0000 0.0000 x1
2 B 0.3333 0.6667 0.2241 x4
3 Pb 0.0000 0.0000 0.5000 x1

---

Arrangement B

Material: CdB4Pb
Method: DFT, PBE
State: optimized geometry

Unit cell a=3.115 b=5.421 c=9.109 alpha=90.00 beta=90.00 gamma=90.00
Space group Immm (No. 71)
Unique sites:
1 Cd 0.000 0.000 0.000 x2
2 B 0.000 0.335 0.253 x8
3 Pb 0.000 0.000 0.500 x2

---

If we sort the structures by their calculated energies, the order from most to least stable is arrangement A, arrangement B.

---

Arrangement A

Material: CdBPd3
Method: DFT, PBE
State: optimized geometry

Unit cell a=10.110 b=5.923 c=5.879 alpha=90.00 beta=121.64 gamma=90.00
Space group Cc (No. 9)
Unique sites:
1 Cd 0.000 0.236 0.000 x4
2 B 0.249 0.250 0.751 x4
3 Pd 0.243 0.035 0.460 x4
4 Pd 0.257 0.466 0.041 x4
5 Pd 0.499 0.225 0.999 x4

---

Arrangement B

Material: CdBPd3
Method: DFT, PBE
State: optimized geometry

Unit cell a=18.220 b=2.927 c=5.491 alpha=90.00 beta=93.60 gamma=90.00
Space group C2/m (No. 12)
Unique sites:
1 Cd 0.072 0.000 0.339 x4
2 B 0.149 0.000 0.856 x4
3 Pd 0.058 0.500 0.841 x4
4 Pd 0.191 0.500 0.612 x4
5 Pd 0.193 0.500 0.117 x4

---

If we sort the structures by their calculated energies, the order from most to least stable is arrangement A, arrangement B.

---

Arrangement A

Material: CdB4Pt
Method: DFT, PBE
State: optimized geometry

Unit cell a=3.0857 b=3.0857 c=7.6524 alpha=90.00 beta=90.00 gamma=120.00
Space group P6/mmm (No. 191)
Unique sites:
1 Cd 0.0000 0.0000 0.0000 x1
2 B 0.3333 0.6667 0.2710 x4
3 Pt 0.0000 0.0000 0.5000 x1

## Properties
The total moment comes out at 0.044 Bohr magnetons per cell.

---

Arrangement B

Material: CdB4Pt
Method: DFT, PBE
State: optimized geometry

Unit cell a=2.862 b=5.530 c=7.983 alpha=90.00 beta=90.00 gamma=90.00
Space group Immm (No. 71)
Unique sites:
1 Cd 0.000 0.000 0.000 x2
2 B 0.000 0.346 0.240 x8
3 Pt 0.000 0.000 0.500 x2

## Properties
The total moment comes out at 0.005 Bohr magnetons per cell.

---

If we sort the structures by their calculated energies, the order from most to least stable is arrangement B, arrangement A.

---

Arrangement A

Material: PuCdB
Method: DFT, PBE
State: optimized geometry

Unit cell a=6.582 b=6.582 c=6.582 alpha=90.00 beta=90.00 gamma=90.00
Space group F-43m (No. 216)
Unique sites:
1 Pu 0.000 0.000 0.000 x4
2 Cd 0.250 0.250 0.250 x4
3 B 0.250 0.250 0.750 x4

## Properties
The total moment comes out at 22.330 Bohr magnetons per cell.

---

Arrangement B

Material: PuCdB
Method: DFT, PBE
State: optimized geometry

Unit cell a=6.170 b=6.170 c=6.170 alpha=90.00 beta=90.00 gamma=90.00
Space group F-43m (No. 216)
Unique sites:
1 Pu 0.000 0.000 0.000 x4
2 Cd 0.000 0.000 0.500 x4
3 B 0.250 0.250 0.750 x4

## Properties
The total moment comes out at 19.974 Bohr magnetons per cell.

---

If we sort the structures by their calculated energies, the order from most to least stable is arrangement B, arrangement A.

---

Arrangement A

Material: CdReB4
Method: DFT, PBE
State: optimized geometry

Unit cell a=2.9327 b=2.9327 c=9.3836 alpha=90.00 beta=90.00 gamma=120.00
Space group P6/mmm (No. 191)
Unique sites:
1 Cd 0.0000 0.0000 0.0000 x1
2 Re 0.0000 0.0000 0.5000 x1
3 B 0.3333 0.6667 0.3188 x4

## Properties
The total moment comes out at 0.002 Bohr magnetons per cell.

---

Arrangement B

Material: CdReB4
Method: DFT, PBE
State: optimized geometry

Unit cell a=3.035 b=5.304 c=7.218 alpha=90.00 beta=90.00 gamma=90.00
Space group Immm (No. 71)
Unique sites:
1 Cd 0.000 0.000 0.000 x2
2 Re 0.000 0.000 0.500 x2
3 B 0.000 0.340 0.248 x8

## Properties
The total moment comes out at 0.003 Bohr magnetons per cell.

---

If we sort the structures by their calculated energies, the order from most to least stable is arrangement A, arrangement B.